4
Lattice="3.339 0.000 0.000 0.000 3.626 0.026 0.000 3.577 7.172" Properties=species:S:1:pos:R:3 comment="LaYIr2 | the Alexandria database | GGA-PBE | optimized geometry" relative_energy_mev_per_atom=0 formation_enthalpy_0k_mev_per_atom=-661 dos_at_fermi_per_ev_cell=0.88 pbc="T T T"
Ir 0.000 3.602 3.703
Ir 0.000 3.577 7.068
La 1.670 1.801 1.799
Y 1.670 5.403 5.398

---

18
Lattice="-2.362 -2.307 -4.546 3.322 -3.090 3.313 -7.149 -2.398 4.932" Properties=species:S:1:pos:R:3 comment="PaTaPdO6 | the Alexandria database | GGA-PBE | optimized geometry" e_form_raw_ev_per_atom=-2.37 dos_at_fermi_per_ev_cell=0.06 pbc="T T T"
Pa -0.360 -3.428 1.927
Ta -3.934 -4.627 4.392
O -2.349 -2.783 1.276
O -2.095 -5.324 4.800
O -2.121 -3.629 -2.643
O -1.740 -1.240 -0.929
O -0.403 -3.794 -0.232
Pa -5.829 -4.366 1.773
O -3.367 -2.707 4.229
O -5.786 -4.001 3.932
O -2.822 -5.087 -0.530
Pd 0.000 0.000 0.000
O -4.068 -4.166 6.342
O -3.840 -5.012 2.423
O -4.449 -6.554 4.628
Ta -2.255 -3.167 -0.693
O -4.094 -2.470 -1.101
Pd -3.574 -1.199 2.466

---

20
Lattice="-1.632 -4.438 5.680 -2.866 -3.883 -5.597 7.182 -1.516 -0.861" Properties=species:S:1:pos:R:3 comment="Al6Zn3Ga | the Alexandria database | GGA-PBE | optimized geometry" formation_enthalpy_0k_mev_per_atom=133 dos_at_fermi_per_ev_cell=7.28 pbc="T T T"
Al 5.344 -2.723 -2.386
Al 1.354 -3.813 -2.953
Zn -0.906 -3.619 -1.638
Al -2.660 -7.114 1.608
Al 0.791 -4.513 4.546
Al 3.897 -5.032 -1.509
Zn 3.590 -6.217 0.860
Ga 0.000 0.000 0.000
Al 1.892 -5.323 -5.324
Zn -0.222 -7.218 0.365
Al 1.330 -6.023 2.175
Al -1.213 -4.805 0.730
Al 5.509 -4.943 2.341
Al 3.204 -3.641 1.252
Zn 2.031 -6.354 -2.790
Al -2.826 -4.894 -3.119
Zn 2.905 -2.619 -1.143
Zn 0.653 -3.483 2.012
Al -0.520 -6.196 -2.031
Ga 1.342 -4.918 -0.389

---

8
Lattice="7.448 0.000 0.000 0.000 7.448 0.000 3.724 3.724 2.876" Properties=species:S:1:pos:R:3 comment="Hf2NbRu | the Alexandria database | GGA-PBE | optimized geometry" formation_enthalpy_0k_mev_per_atom=225 dos_at_fermi_per_ev_cell=9.13 pbc="T T T"
Ru 7.448 3.724 1.438
Hf 5.844 1.862 0.719
Hf 5.586 5.329 2.157
Nb 3.724 7.448 1.438
Ru 0.000 0.000 0.000
Hf 1.605 5.586 0.719
Nb 3.724 3.724 0.000
Hf 9.310 9.568 2.157

---

20
Lattice="-5.509 3.467 6.034 -0.172 -5.308 2.893 11.514 1.052 2.614" Properties=species:S:1:pos:R:3 comment="NdTm2Sc2 | the Alexandria database | GGA-PBE | optimized geometry" relative_energy_mev_per_atom=0 formation_enthalpy_0k_mev_per_atom=28 dos_at_fermi_per_ev_cell=33.51 pbc="T T T"
Tm 5.896 2.053 5.249
Nd -0.973 3.056 6.591
Tm 4.707 -0.838 10.329
Tm -1.685 0.015 5.193
Sc 0.686 0.202 7.706
Sc 6.503 1.564 8.562
Sc 3.381 -3.369 5.689
Tm -2.761 0.595 8.381
Nd 4.110 -0.332 6.998
Tm -0.062 -2.842 6.292
Tm 7.519 -0.804 6.348
Sc 5.148 -0.991 3.836
Sc -3.482 -2.421 6.979
Tm 8.595 -1.384 3.160
Sc 2.453 2.579 5.852
Nd 1.724 -0.457 4.544
Nd 6.807 -3.845 4.950
Sc 9.315 1.632 4.563
Sc -0.669 -2.353 2.979
Tm 1.126 0.049 1.212

---

16
Lattice="3.575 0.000 0.000 -1.788 6.026 0.000 0.000 0.000 12.159" Properties=species:S:1:pos:R:3 comment="AcPm2GaN4 | the Alexandria database | GGA-PBE | optimized geometry" e_form_raw_ev_per_atom=-1.09 pbc="T T T"
Pm 0.000 4.445 11.617
N 0.000 0.000 0.000
N 1.788 2.801 10.644
Pm 0.000 4.445 6.621
N 0.000 0.000 6.079
N 1.788 2.801 7.594
Pm 1.788 1.582 5.538
N 0.000 3.226 4.564
N 0.000 5.180 9.119
N 0.000 3.226 1.515
Ac 1.788 4.800 3.040
N 1.788 0.846 3.040
Ga 0.000 2.031 3.040
Ac 0.000 1.227 9.119
Pm 1.788 1.582 0.541
Ga 1.788 3.995 9.119

---

14
Lattice="5.794 0.000 0.000 0.000 8.432 -4.868 0.000 0.000 9.736" Properties=species:S:1:pos:R:3 comment="La3Sm3Mg | the Alexandria database | GGA-PBE | optimized geometry" relative_energy_mev_per_atom=0 formation_enthalpy_0k_mev_per_atom=12 dos_at_fermi_per_ev_cell=20.70 pbc="T T T"
Sm 1.449 6.435 4.233
La 1.449 7.565 0.767
Sm 1.449 0.449 2.047
Sm 4.346 6.883 -3.456
Mg 4.346 5.621 0.000
Sm 1.449 1.548 8.324
Sm 4.346 7.983 2.821
La 1.449 3.985 1.300
La 4.346 0.867 4.101
La 1.449 5.314 -2.067
Mg 1.449 2.811 4.868
La 4.346 3.118 6.935
Sm 4.346 1.997 0.635
La 4.346 4.447 3.568

---

5
Lattice="5.733 0.000 0.000 0.000 5.733 0.000 0.000 0.000 5.733" Properties=species:S:1:pos:R:3 comment="CaHBr3 | the Alexandria database | GGA-PBE | optimized geometry" relative_energy_mev_per_atom=47 dos_at_fermi_per_ev_cell=6.85 pbc="T T T"
H 2.866 2.866 2.866
Br 0.000 2.866 0.000
Br 2.866 0.000 0.000
Br 0.000 0.000 2.866
Ca 0.000 0.000 0.000

---

4
Lattice="4.426 0.000 0.000 0.000 4.109 0.000 -2.213 0.000 5.532" Properties=species:S:1:pos:R:3 comment="PrThSiGe | the Alexandria database | GGA-PBE | optimized geometry" e_form_raw_ev_per_atom=-0.73 dos_at_fermi_per_ev_cell=3.26 pbc="T T T"
Th 2.213 2.055 4.015
Si 0.000 0.000 4.633
Pr 0.000 0.000 1.557
Ge 2.213 2.055 0.858

---

5
Lattice="5.369 0.000 0.000 0.000 5.369 0.000 0.000 0.000 3.483" Properties=species:S:1:pos:R:3 comment="CuIrI2O | the Alexandria database | GGA-PBE | optimized geometry" relative_energy_mev_per_atom=525 e_form_raw_ev_per_atom=0.74 dos_at_fermi_per_ev_cell=6.82 pbc="T T T"
I 2.684 0.000 0.000
O 0.000 0.000 1.742
Ir 2.684 2.684 1.742
Cu 0.000 0.000 0.000
I 0.000 2.684 0.000

---

10
Lattice="8.070 0.000 0.000 0.000 8.070 0.000 0.000 0.000 3.197" Properties=species:S:1:pos:R:3 comment="Hf2ZrAg2 | the Alexandria database | GGA-PBE | optimized geometry" relative_energy_mev_per_atom=47 formation_enthalpy_0k_mev_per_atom=113 dos_at_fermi_per_ev_cell=9.70 pbc="T T T"
Hf 1.416 5.450 1.598
Zr 4.035 4.035 0.000
Ag 3.045 7.080 0.000
Hf 2.619 1.416 1.598
Ag 0.990 3.045 0.000
Hf 5.450 6.654 1.598
Ag 5.025 0.990 0.000
Zr 0.000 0.000 0.000
Ag 7.080 5.025 0.000
Hf 6.654 2.619 1.598

---

4
Lattice="5.225 0.000 0.000 2.613 4.525 0.000 2.613 1.508 4.266" Properties=species:S:1:pos:R:3 comment="EuGdAlGa | the Alexandria database | GGA-PBE | optimized geometry" formation_enthalpy_0k_mev_per_atom=-387 dos_at_fermi_per_ev_cell=6.23 pbc="T T T"
Eu 0.000 0.000 0.000
Ga 7.838 4.525 3.200
Gd 5.225 3.017 2.133
Al 2.613 1.508 1.067